[1]
# CsBaIn2Se PBE-GGA relaxed
# Formation energy (no corrections) = -0.259 eV/atom
data_CsBaIn2Se
_cell_length_a 6.306
_cell_length_b 6.074
_cell_length_c 6.306
_cell_angle_alpha 90.00
_cell_angle_beta 90.00
_cell_angle_gamma 90.00
_symmetry_space_group_name_H-M 'P 1'
_symmetry_Int_Tables_number 1
loop_
_symmetry_equiv_pos_as_xyz
'x,y,z'
loop_
_atom_site_label
_atom_site_type_symbol
_atom_site_fract_x
_atom_site_fract_y
_atom_site_fract_z
_atom_site_occupancy
Cs1 Cs 0.500 0.500 0.500 1
Ba1 Ba 0.000 0.500 0.000 1
Se1 Se 0.000 0.000 0.000 1
In1 In 0.000 0.000 0.500 1
In2 In 0.500 0.000 0.000 1

[2]
# RbMnW2Br PBE-GGA relaxed
# Formation energy (no corrections) = 1.390 eV/atom
data_RbMnW2Br
_cell_length_a 4.504
_cell_length_b 7.452
_cell_length_c 4.504
_cell_angle_alpha 90.00
_cell_angle_beta 90.00
_cell_angle_gamma 90.00
_symmetry_space_group_name_H-M 'P 1'
_symmetry_Int_Tables_number 1
loop_
_symmetry_equiv_pos_as_xyz
'x,y,z'
loop_
_atom_site_label
_atom_site_type_symbol
_atom_site_fract_x
_atom_site_fract_y
_atom_site_fract_z
_atom_site_occupancy
Mn1 Mn 0.000 0.000 0.000 1
Br1 Br 0.500 0.500 0.500 1
Rb1 Rb 0.000 0.500 0.000 1
W1 W 0.000 0.000 0.500 1
W2 W 0.500 0.000 0.000 1

Q: Which value of formation energy (no corrections) does entry 1 give?
A: -0.259 eV/atom

What did the first record say?
# CsBaIn2Se PBE-GGA relaxed
# Formation energy (no corrections) = -0.259 eV/atom
data_CsBaIn2Se
_cell_length_a 6.306
_cell_length_b 6.074
_cell_length_c 6.306
_cell_angle_alpha 90.00
_cell_angle_beta 90.00
_cell_angle_gamma 90.00
_symmetry_space_group_name_H-M 'P 1'
_symmetry_Int_Tables_number 1
loop_
_symmetry_equiv_pos_as_xyz
'x,y,z'
loop_
_atom_site_label
_atom_site_type_symbol
_atom_site_fract_x
_atom_site_fract_y
_atom_site_fract_z
_atom_site_occupancy
Cs1 Cs 0.500 0.500 0.500 1
Ba1 Ba 0.000 0.500 0.000 1
Se1 Se 0.000 0.000 0.000 1
In1 In 0.000 0.000 0.500 1
In2 In 0.500 0.000 0.000 1

Q: What is the formation energy (no corrections) in the first record?
A: -0.259 eV/atom

Repeat the second record exactly.
# RbMnW2Br PBE-GGA relaxed
# Formation energy (no corrections) = 1.390 eV/atom
data_RbMnW2Br
_cell_length_a 4.504
_cell_length_b 7.452
_cell_length_c 4.504
_cell_angle_alpha 90.00
_cell_angle_beta 90.00
_cell_angle_gamma 90.00
_symmetry_space_group_name_H-M 'P 1'
_symmetry_Int_Tables_number 1
loop_
_symmetry_equiv_pos_as_xyz
'x,y,z'
loop_
_atom_site_label
_atom_site_type_symbol
_atom_site_fract_x
_atom_site_fract_y
_atom_site_fract_z
_atom_site_occupancy
Mn1 Mn 0.000 0.000 0.000 1
Br1 Br 0.500 0.500 0.500 1
Rb1 Rb 0.000 0.500 0.000 1
W1 W 0.000 0.000 0.500 1
W2 W 0.500 0.000 0.000 1